Entry 1:
# LaScZn2Mo

A relaxed LaScZn2Mo crystal (PBE, Alexandria).

The structure in extended XYZ format:
```
5
Lattice="5.3168 0.0000 0.0000 0.0000 5.3168 0.0000 0.0000 0.0000 4.8607" Properties=species:S:1:pos:R:3 pbc="T T T"
La 0.0000 0.0000 0.0000
Sc 2.6584 2.6584 2.4304
Zn 0.0000 2.6584 0.0000
Zn 2.6584 0.0000 0.0000
Mo 0.0000 0.0000 2.4304
```

Properties
**Magnetization**: 0.0000 μB/atom
**Final energy**: -3.664 eV per atom
**E_form**: 1.2637 eV/atom
**Mass density**: 4.96 Mg/m³

Entry 2:
# Hf6ReNi

A relaxed Hf6ReNi crystal (PBE, Alexandria).

The structure in extended XYZ format:
```
8
Lattice="5.8582 0.0000 0.0000 -2.9254 5.0887 0.0000 -0.0019 -3.3631 6.0942" Properties=species:S:1:pos:R:3 pbc="T T T"
Hf -0.7274 0.8141 1.6209
Hf 0.4117 -1.0565 4.4752
Hf -0.3437 4.0643 1.6209
Hf 3.2746 -2.3388 4.4733
Hf 2.5191 2.7821 1.6190
Hf 3.6583 0.9114 4.4732
Re 1.4654 0.8628 3.0471
Ni -1.4627 2.5443 0.0000
```

Properties
**Magnetization**: 0.0000 μB/atom
**Final energy**: -9.469 eV per atom
**E_form**: 0.2747 eV/atom
**Mass density**: 12.03 Mg/m³

Entry 3:
# BaSrMo2

A relaxed BaSrMo2 crystal (PBE, Alexandria).

The structure in extended XYZ format:
```
4
Lattice="-2.6011 2.6011 3.6624 2.6011 -2.6011 3.6624 2.6011 2.6011 -3.6624" Properties=species:S:1:pos:R:3 pbc="T T T"
Ba 0.0000 0.0000 0.0000
Sr 2.6011 0.0000 1.8312
Mo 0.0000 0.0000 3.6624
Mo 0.0000 2.6011 1.8312
```

Properties
**Magnetization**: 0.0001 μB/atom
**Final energy**: -4.977 eV per atom
**E_form**: 1.3400 eV/atom
**Mass density**: 6.98 Mg/m³
**ΔE to the lowest computed polymorph**: 0.810 eV per atom

Entry 4:
# BaPrEu2

A relaxed BaPrEu2 crystal (PBE, Alexandria).

The structure in extended XYZ format:
```
4
Lattice="3.9870 0.0000 0.0000 0.0000 3.9870 0.0000 0.0000 0.0000 11.2908" Properties=species:S:1:pos:R:3 pbc="T T T"
Ba 0.0000 0.0000 0.0000
Pr 0.0000 0.0000 5.6454
Eu 1.9935 1.9935 3.1317
Eu 1.9935 1.9935 8.1591
```

Properties
**Magnetization**: 3.8616 μB/atom
**Final energy**: -6.731 eV per atom
**E_form**: 0.0814 eV/atom
**Mass density**: 5.39 Mg/m³
**ΔE to the lowest computed polymorph**: 0.000 eV per atom

Entry 5:
# V3MoOs

A relaxed V3MoOs crystal (PBE, Alexandria).

The structure in extended XYZ format:
```
5
Lattice="4.4204 0.0000 0.0000 0.0000 4.4204 0.0000 0.0000 0.0000 4.4204" Properties=species:S:1:pos:R:3 pbc="T T T"
V 0.0000 0.0000 2.2102
V 0.0000 2.2102 0.0000
V 2.2102 0.0000 0.0000
Mo 0.0000 0.0000 0.0000
Os 2.2102 2.2102 2.2102
```

Properties
**Magnetization**: 0.0001 μB/atom
**Final energy**: -8.301 eV per atom
**E_form**: 1.5822 eV/atom
**Mass density**: 8.44 Mg/m³
**ΔE to the lowest computed polymorph**: 1.542 eV per atom

Entry 6:
# Ho4Al12Rh

A relaxed Ho4Al12Rh crystal (PBE, Alexandria).

The structure in extended XYZ format:
```
17
Lattice="-4.3071 4.3071 4.3071 4.3071 -4.3071 4.3071 4.3071 4.3071 -4.3071" Properties=species:S:1:pos:R:3 pbc="T T T"
Ho 2.1535 2.1535 -2.1535
Ho 2.1535 -2.1535 2.1535
Ho -2.1535 2.1535 2.1535
Ho 2.1535 2.1535 2.1535
Al 2.4740 0.0000 0.0000
Al 6.1402 0.0000 0.0000
Al 4.3071 2.1535 0.0000
Al 4.3071 0.0000 2.1535
Al 0.0000 2.4740 0.0000
Al 0.0000 0.0000 2.4740
Al 2.1535 4.3071 0.0000
Al 2.1535 0.0000 4.3071
Al 0.0000 6.1402 0.0000
Al 0.0000 0.0000 6.1402
Al 0.0000 4.3071 2.1535
Al 0.0000 2.1535 4.3071
Rh 0.0000 0.0000 0.0000
```

Properties
**Magnetization**: 0.0000 μB/atom
**Final energy**: -4.698 eV per atom
**E_form**: -0.5468 eV/atom
**Mass density**: 5.64 Mg/m³